# 1
GGA+U MnCuAg2F8, optimized geometry; final energy = -51.30 eV per cell; space-group type = No. 119
1.0
-1.680 5.323 2.648
0.052 -3.017 5.391
5.120 -0.074 -3.458
Mn Cu Ag F
1 1 2 8
direct
0.250 0.750 0.500
0.000 0.000 0.000
0.750 0.250 0.500
0.500 0.500 0.000
0.316 0.027 0.290
0.281 0.490 0.208
0.281 0.073 0.792
0.737 0.027 0.710
0.927 0.719 0.208
0.973 0.263 0.290
0.973 0.684 0.710
0.510 0.719 0.792

# 2
GGA+U MnCuAg2F6, optimized geometry; final energy = -89.73 eV per cell; space-group type = No. 14
1.0
5.592 0.000 0.045
0.000 5.646 0.000
0.110 0.000 8.758
Mn Cu Ag F
2 2 4 12
direct
0.500 0.000 0.500
0.000 0.500 0.000
0.500 0.000 0.000
0.000 0.500 0.500
0.014 0.959 0.252
0.514 0.541 0.752
0.986 0.041 0.748
0.486 0.459 0.248
0.312 0.720 0.049
0.812 0.780 0.549
0.688 0.280 0.951
0.188 0.220 0.451
0.278 0.694 0.447
0.778 0.806 0.947
0.722 0.306 0.553
0.222 0.194 0.053
0.907 0.531 0.232
0.407 0.969 0.732
0.093 0.469 0.768
0.593 0.031 0.268

Repeat the second record exactly.
GGA+U MnCuAg2F6, optimized geometry; final energy = -89.73 eV per cell; space-group type = No. 14
1.0
5.592 0.000 0.045
0.000 5.646 0.000
0.110 0.000 8.758
Mn Cu Ag F
2 2 4 12
direct
0.500 0.000 0.500
0.000 0.500 0.000
0.500 0.000 0.000
0.000 0.500 0.500
0.014 0.959 0.252
0.514 0.541 0.752
0.986 0.041 0.748
0.486 0.459 0.248
0.312 0.720 0.049
0.812 0.780 0.549
0.688 0.280 0.951
0.188 0.220 0.451
0.278 0.694 0.447
0.778 0.806 0.947
0.722 0.306 0.553
0.222 0.194 0.053
0.907 0.531 0.232
0.407 0.969 0.732
0.093 0.469 0.768
0.593 0.031 0.268

- Which of these has the highest final energy?
  MnCuAg2F8

Repeat the second record exactly.
GGA+U MnCuAg2F6, optimized geometry; final energy = -89.73 eV per cell; space-group type = No. 14
1.0
5.592 0.000 0.045
0.000 5.646 0.000
0.110 0.000 8.758
Mn Cu Ag F
2 2 4 12
direct
0.500 0.000 0.500
0.000 0.500 0.000
0.500 0.000 0.000
0.000 0.500 0.500
0.014 0.959 0.252
0.514 0.541 0.752
0.986 0.041 0.748
0.486 0.459 0.248
0.312 0.720 0.049
0.812 0.780 0.549
0.688 0.280 0.951
0.188 0.220 0.451
0.278 0.694 0.447
0.778 0.806 0.947
0.722 0.306 0.553
0.222 0.194 0.053
0.907 0.531 0.232
0.407 0.969 0.732
0.093 0.469 0.768
0.593 0.031 0.268